No. 1
DFT (GGA-PBE) results for a geometry-optimized Sc3Cd2Rh structure.

Computed properties:
symmetry	No. 65
DFT total energy	-5.213	eV/atom

a b c (Å): 7.520 7.520 7.141
angles (deg): 90.00 90.00 142.95
Fractional positions:
Sc1 0.000 0.000 0.233
Sc2 0.000 0.000 0.767
Sc3 0.326 0.674 0.223
Sc4 0.326 0.674 0.777
Sc5 0.674 0.326 0.223
Sc6 0.674 0.326 0.777
Cd1 0.165 0.835 0.500
Cd2 0.500 0.500 0.000
Cd3 0.500 0.500 0.500
Cd4 0.835 0.165 0.500
Rh1 0.163 0.837 0.000
Rh2 0.837 0.163 0.000



No. 2
DFT (GGA-PBE) results for a geometry-optimized Sc2Cd2Rh structure.

Computed properties:
symmetry	No. 139
DFT total energy	-4.904	eV/atom

a b c (Å): 9.985 9.985 9.985
angles (deg): 161.56 161.56 26.19
Fractional positions:
Sc1 0.085 0.085 0.000
Sc2 0.915 0.915 0.000
Cd1 0.303 0.303 0.000
Cd2 0.697 0.697 0.000
Rh1 0.500 0.500 0.000



No. 3
DFT (GGA-PBE) results for a geometry-optimized Sc5CdRh structure.

Computed properties:
symmetry	No. 15
DFT total energy	-5.955	eV/atom

a b c (Å): 5.372 5.372 11.299
angles (deg): 100.79 100.79 81.20
Fractional positions:
Sc1 0.017 0.983 0.750
Sc2 0.082 0.425 0.622
Sc3 0.205 0.524 0.927
Sc4 0.425 0.082 0.122
Sc5 0.476 0.795 0.573
Sc6 0.524 0.205 0.427
Sc7 0.575 0.918 0.878
Sc8 0.795 0.476 0.073
Sc9 0.918 0.575 0.378
Sc10 0.983 0.017 0.250
Cd1 0.393 0.607 0.250
Cd2 0.607 0.393 0.750
Rh1 0.000 0.000 0.000
Rh2 0.000 0.000 0.500



So what do the calculations give for calculated density? Going down the list: 6.3, 7.0, 4.7 g cm⁻³.